Here is a relaxed Er3In2Te6 crystal from Alexandria via LeMat-Bulk. Energies are from PBE-GGA.

a = 7.5506 Å, b = 7.5458 Å, c = 8.1591 Å
α = 81.16°, β = 72.11°, γ = 59.98°
Sites, in units of the cell vectors:
Te 0.5913 0.3361 0.2270
In 0.8330 0.3341 0.5000
Te 0.2559 0.0000 0.2248
Te 0.0727 0.3361 0.7730
Te 0.9273 0.6639 0.2270
Te 0.7441 0.0000 0.7752
In 0.1670 0.6659 0.5000
Er 0.3326 0.3348 0.0000
Te 0.4087 0.6639 0.7730
Er 0.0000 0.0000 0.0000
Er 0.6674 0.6652 0.0000

## Properties
For the magnetic moment, the calculation gives 0.0 μB/f.u. The formation energy from raw total energies is -1.0060 eV per atom. The symmetry is C2/m (12).